Entry 1:
Density functional theory data (PBE) for a relaxed TlP2H5 crystal.

Cell: 9.0864 6.7870 4.6531 Å, 90.00 114.20 90.00°
Last column: nearest neighbours and their distance in Å.
Space group C2/m (No. 12)
Asymmetric unit:
1 Tl 0.0000 0.0000 0.0000 x2  8 H 2.95-3.10, 2 P 3.26
2 P 0.1908 0.5000 0.3209 x4  2 H 1.44
3 H 0.0000 0.5000 0.0000 x2  2 P 1.76
4 H 0.2415 0.3476 0.1673 x8  1 P 1.44

Summary:
Volume, Å³/cell: 261.7
Raw total energy, hartree per atom: -0.13360
ρ, g/cm3: 3.44

---

Entry 2:
Density functional theory data (PBE) for a relaxed Tl2PH crystal.

Cell: 5.2945 5.2945 13.5719 Å, 90.00 90.00 90.00°
Last column: nearest neighbours and their distance in Å.
Space group I-42d (No. 122)
Asymmetric unit:
1 Tl 0.1887 0.2500 0.1250 x8  2 H 2.37
2 P 0.0000 0.0000 0.5000 x4  4 Tl 2.71
3 H 0.0000 0.0000 0.0000 x4  4 Tl 2.37

Summary:
Volume, Å³/cell: 380.4
Offset from the most stable computed form, meV/atom: 0
ρ, g/cm3: 7.69

---

Entry 3:
Density functional theory data (PBE) for a relaxed Tm12P3H5 crystal.

Cell: 14.6913 14.6913 14.6913 Å, 90.00 90.00 90.00°
Last column: nearest neighbours and their distance in Å.
Space group Ia-3d (No. 230)
Asymmetric unit:
1 Tm 0.0365 0.0602 0.6543 x96  1 H 2.11
2 P 0.0000 0.2500 0.1250 x24  8 Tm 2.87-2.90
3 H 0.0000 0.0000 0.0000 x16  6 Tm 2.49
4 H 0.0000 0.2500 0.3750 x24  4 Tm 2.11

Summary:
Volume, Å³/cell: 3170.9
Raw total energy, hartree per atom: -0.17875
ρ, g/cm3: 8.90